No. 1
This record from Alexandria via LeMat-Bulk describes an optimized crystal structure of K4YTh3Se8. The functional is PBE-GGA.

Values from the calculation:
* total energy: -86.5 eV per cell

Unit cell a=9.230 b=9.230 c=9.230 alpha=54.55 beta=54.55 gamma=54.55
Element x y z (fractional)
K 0.000 0.000 0.000
K 0.000 0.500 0.500
K 0.500 0.000 0.500
K 0.500 0.500 0.000
Y 0.500 0.500 0.500
Th 0.000 0.000 0.500
Th 0.000 0.500 0.000
Th 0.500 0.000 0.000
Se 0.240 0.240 0.240
Se 0.243 0.736 0.736
Se 0.264 0.264 0.757
Se 0.264 0.757 0.264
Se 0.736 0.243 0.736
Se 0.736 0.736 0.243
Se 0.757 0.264 0.264
Se 0.760 0.760 0.760

---

No. 2
This record from Alexandria via LeMat-Bulk describes an optimized crystal structure of TcNiAu2Cl. The functional is PBE-GGA.

Values from the calculation:
* total energy: -19.8 eV per cell

Unit cell a=4.836 b=4.836 c=4.530 alpha=90.00 beta=90.00 gamma=90.00
Element x y z (fractional)
Tc 0.000 0.000 0.000
Ni 0.000 0.000 0.500
Au 0.000 0.500 0.500
Au 0.500 0.000 0.500
Cl 0.500 0.500 0.000

---

No. 3
This record from Alexandria via LeMat-Bulk describes an optimized crystal structure of RbGaP2S8. The functional is PBE-GGA.

Values from the calculation:
* total energy: -50.9 eV per cell

Unit cell a=5.932 b=5.932 c=9.680 alpha=90.00 beta=90.00 gamma=120.00
Element x y z (fractional)
Rb 0.000 0.000 0.000
Ga 0.000 0.000 0.500
P 0.333 0.667 0.716
P 0.667 0.333 0.284
S 0.004 0.666 0.344
S 0.333 0.667 0.924
S 0.334 0.339 0.344
S 0.339 0.004 0.656
S 0.661 0.996 0.344
S 0.666 0.661 0.656
S 0.667 0.333 0.076
S 0.996 0.334 0.656

---

No. 4
This record from Alexandria via LeMat-Bulk describes an optimized crystal structure of Li2NpAgTe4. The functional is PBE-GGA.

Values from the calculation:
* total energy: -36.7 eV per cell

Unit cell a=6.988 b=4.343 c=7.495 alpha=90.00 beta=108.60 gamma=90.00
Element x y z (fractional)
Li 0.000 0.000 0.000
Li 0.500 0.500 0.000
Np 0.000 0.500 0.500
Ag 0.500 0.000 0.500
Te 0.244 0.500 0.240
Te 0.258 0.000 0.751
Te 0.742 0.000 0.249
Te 0.756 0.500 0.760

---

No. 5
This record from Alexandria via LeMat-Bulk describes an optimized crystal structure of PmGdLuMn. The functional is PBE-GGA.

Values from the calculation:
* formation energy: 0.26 eV/atom

Unit cell a=7.594 b=7.594 c=7.594 alpha=90.00 beta=90.00 gamma=90.00
Element x y z (fractional)
Pm 0.000 0.000 0.000
Pm 0.000 0.500 0.500
Pm 0.500 0.000 0.500
Pm 0.500 0.500 0.000
Gd 0.000 0.000 0.500
Gd 0.000 0.500 0.000
Gd 0.500 0.000 0.000
Gd 0.500 0.500 0.500
Lu 0.250 0.250 0.250
Lu 0.250 0.750 0.750
Lu 0.750 0.250 0.750
Lu 0.750 0.750 0.250
Mn 0.250 0.250 0.750
Mn 0.250 0.750 0.250
Mn 0.750 0.250 0.250
Mn 0.750 0.750 0.750

---

No. 6
This record from Alexandria via LeMat-Bulk describes an optimized crystal structure of Ca3Zn2Rh7. The functional is PBE-GGA.

Values from the calculation:
* formation energy: -0.43 eV/atom

Unit cell a=8.948 b=8.948 c=8.948 alpha=35.08 beta=35.08 gamma=35.08
Element x y z (fractional)
Ca 0.000 0.000 0.000
Ca 0.140 0.140 0.140
Ca 0.860 0.860 0.860
Zn 0.335 0.335 0.335
Zn 0.665 0.665 0.665
Rh 0.078 0.585 0.585
Rh 0.415 0.415 0.922
Rh 0.415 0.922 0.415
Rh 0.500 0.500 0.500
Rh 0.585 0.078 0.585
Rh 0.585 0.585 0.078
Rh 0.922 0.415 0.415

---

No. 7
This record from Alexandria via LeMat-Bulk describes an optimized crystal structure of TbY12Sc6. The functional is PBE-GGA.

Values from the calculation:
* formation energy: 0.23 eV/atom

Unit cell a=9.086 b=9.086 c=9.086 alpha=109.47 beta=109.47 gamma=109.47
Element x y z (fractional)
Tb 0.000 0.000 0.000
Y 0.074 0.805 0.269
Y 0.195 0.269 0.464
Y 0.195 0.731 0.926
Y 0.269 0.074 0.805
Y 0.269 0.464 0.195
Y 0.464 0.195 0.269
Y 0.536 0.805 0.731
Y 0.731 0.536 0.805
Y 0.731 0.926 0.195
Y 0.805 0.269 0.074
Y 0.805 0.731 0.536
Y 0.926 0.195 0.731
Sc 0.137 0.637 0.500
Sc 0.363 0.500 0.863
Sc 0.500 0.137 0.637
Sc 0.500 0.863 0.363
Sc 0.637 0.500 0.137
Sc 0.863 0.363 0.500

---

No. 8
This record from Alexandria via LeMat-Bulk describes an optimized crystal structure of HoScAgPt. The functional is PBE-GGA.

Values from the calculation:
* formation energy: -0.77 eV/atom

Unit cell a=6.899 b=6.899 c=6.899 alpha=90.00 beta=90.00 gamma=90.00
Element x y z (fractional)
Ho 0.000 0.000 0.000
Ho 0.000 0.500 0.500
Ho 0.500 0.000 0.500
Ho 0.500 0.500 0.000
Sc 0.000 0.000 0.500
Sc 0.000 0.500 0.000
Sc 0.500 0.000 0.000
Sc 0.500 0.500 0.500
Ag 0.250 0.250 0.250
Ag 0.250 0.750 0.750
Ag 0.750 0.250 0.750
Ag 0.750 0.750 0.250
Pt 0.250 0.250 0.750
Pt 0.250 0.750 0.250
Pt 0.750 0.250 0.250
Pt 0.750 0.750 0.750

---

No. 9
This record from Alexandria via LeMat-Bulk describes an optimized crystal structure of TbZn11Co. The functional is PBE-GGA.

Values from the calculation:
* formation energy: -0.18 eV/atom

Unit cell a=6.794 b=6.794 c=6.762 alpha=97.93 beta=97.93 gamma=136.48
Element x y z (fractional)
Tb 0.000 0.000 0.000
Zn 0.000 0.000 0.500
Zn 0.000 0.500 0.000
Zn 0.027 0.368 0.359
Zn 0.291 0.504 0.779
Zn 0.368 0.027 0.359
Zn 0.496 0.709 0.221
Zn 0.500 0.000 0.000
Zn 0.504 0.291 0.779
Zn 0.632 0.973 0.641
Zn 0.709 0.496 0.221
Zn 0.973 0.632 0.641
Co 0.500 0.500 0.500

---

No. 10
This record from Alexandria via LeMat-Bulk describes an optimized crystal structure of Ti2AlIn2. The functional is PBE-GGA.

Values from the calculation:
* formation energy: 0.10 eV/atom

Unit cell a=7.067 b=7.067 c=3.970 alpha=90.00 beta=90.00 gamma=90.00
Element x y z (fractional)
Ti 0.168 0.332 0.000
Ti 0.332 0.832 0.000
Ti 0.668 0.168 0.000
Ti 0.832 0.668 0.000
Al 0.000 0.000 0.500
Al 0.500 0.500 0.500
In 0.137 0.637 0.500
In 0.363 0.137 0.500
In 0.637 0.863 0.500
In 0.863 0.363 0.500

---

No. 11
This record from Alexandria via LeMat-Bulk describes an optimized crystal structure of MnMoCl2. The functional is PBE-GGA.

Values from the calculation:
* total energy: -74.7 eV per cell

Unit cell a=3.185 b=3.185 c=26.926 alpha=90.00 beta=90.00 gamma=120.00
Element x y z (fractional)
Mn 0.000 0.000 0.000
Mn 0.333 0.667 0.667
Mn 0.667 0.333 0.333
Mo 0.000 0.000 0.256
Mo 0.333 0.667 0.922
Mo 0.667 0.333 0.589
Cl 0.000 0.000 0.529
Cl 0.000 0.000 0.727
Cl 0.333 0.667 0.195
Cl 0.333 0.667 0.393
Cl 0.667 0.333 0.060
Cl 0.667 0.333 0.862

---

No. 12
This record from Alexandria via LeMat-Bulk describes an optimized crystal structure of HoGe2HRu2. The functional is PBE-GGA.

Values from the calculation:
* total energy: -38.7 eV per cell

Unit cell a=4.123 b=4.123 c=5.249 alpha=90.00 beta=90.00 gamma=90.00
Element x y z (fractional)
Ho 0.000 0.000 0.000
Ge 0.500 0.500 0.232
Ge 0.500 0.500 0.768
H 0.000 0.000 0.500
Ru 0.000 0.500 0.500
Ru 0.500 0.000 0.500